# 1
Compound: Mg2CrPb
Source: Alexandria
Functional: SCAN
Structure: single point on PBEsol structure

Cell: 9.979 3.495 5.044 Å, 90.00 105.21 90.00°
Space group Cm (No. 8)
One atom of each set of equivalent atoms:
Mg  0.000  0.000  0.000 x2
Mg  0.241  0.000  0.754 x2
Cr  0.242  0.500  0.240 x2
Pb  0.482  0.000  0.474 x2

Calculated values
**DFT formation energy**: 0.07 eV/atom
**Spin magnetization**: 1.024 μB per atom

# 2
Compound: Tl2CrIn
Source: Alexandria
Functional: SCAN
Structure: single point on PBEsol structure

Cell: 3.270 3.270 8.651 Å, 90.00 90.00 90.00°
Space group P4/mmm (No. 123)
One atom of each set of equivalent atoms:
Tl  0.000  0.000  0.215 x2
Cr  0.500  0.500  0.000 x1
In  0.500  0.500  0.500 x1

Calculated values
**DFT formation energy**: 0.26 eV/atom
**Spin magnetization**: 1.074 μB per atom

# 3
Compound: SrLi3
Source: Alexandria
Functional: SCAN
Structure: single point on PBEsol structure

Cell: 3.897 3.897 7.467 Å, 90.00 90.00 90.00°
Space group P4/mmm (No. 123)
One atom of each set of equivalent atoms:
Sr  0.000  0.000  0.000 x1
Li  0.000  0.000  0.500 x1
Li  0.500  0.500  0.310 x2

Calculated values
**DFT formation energy**: 0.03 eV/atom
**Spin magnetization**: 0.003 μB per atom